Material: Zr2Pd3Rh
Method: DFT, PBE
State: optimized geometry

POSCAR file:
```
Zr2Pd3Rh
1.0
6.264 -1.985 0.000
6.264 1.985 0.000
-4.233 0.000 8.368
Zr Pd Rh
4 6 2
Cartesian
-1.274 0.000 2.895 Zr
0.774 0.000 5.406 Zr
7.521 0.000 2.962 Zr
9.569 0.000 5.474 Zr
1.026 0.000 1.051 Pd
-1.091 0.000 7.400 Pd
5.241 0.000 1.038 Pd
3.055 0.000 7.330 Pd
9.387 0.000 0.968 Pd
7.270 0.000 7.317 Pd
3.093 0.000 3.131 Rh
5.203 0.000 5.237 Rh
```

- V: 208 Å³ per cell
- DFT formation energy: -3.4 eV/f.u.
- Total magnetization: 0.00 Bohr magnetons per cell

Material: Zr2PdRh3
Method: DFT, PBE
State: optimized geometry

POSCAR file:
```
Zr2PdRh3
1.0
-4.279 4.279 5.979
4.279 -4.279 5.979
4.279 4.279 -5.979
Zr Pd Rh
8 4 12
Cartesian
2.578 2.139 0.271 Zr
5.980 2.139 0.271 Zr
4.279 0.438 2.718 Zr
0.000 0.438 3.261 Zr
4.279 3.840 2.718 Zr
0.000 3.840 3.261 Zr
-1.701 2.139 5.708 Zr
1.701 2.139 5.708 Zr
4.279 2.139 -2.035 Pd
0.000 2.139 0.954 Pd
4.279 2.139 5.025 Pd
0.000 2.139 8.014 Pd
4.279 0.000 0.000 Rh
1.832 -0.308 1.495 Rh
6.726 -0.308 1.495 Rh
1.832 3.971 -1.495 Rh
2.447 -0.308 4.484 Rh
-2.139 2.139 2.989 Rh
0.000 0.000 5.979 Rh
2.139 2.139 2.989 Rh
1.832 4.587 1.495 Rh
2.447 0.308 7.474 Rh
-2.447 4.587 4.484 Rh
2.447 4.587 4.484 Rh
```

- V: 438 Å³ per cell
- DFT formation energy: -2.6 eV/f.u.
- Total magnetization: 0.00 Bohr magnetons per cell

Material: Zr2PdRh
Method: DFT, PBE
State: optimized geometry

POSCAR file:
```
Zr2PdRh
1.0
4.735 0.000 0.000
0.000 4.735 0.000
0.000 0.000 3.284
Zr Pd Rh
2 1 1
Cartesian
0.000 2.368 0.000 Zr
2.368 0.000 0.000 Zr
0.000 0.000 1.642 Pd
2.368 2.368 1.642 Rh
```

- V: 74 Å³ per cell
- DFT formation energy: -2.7 eV/f.u.
- Total magnetization: 0.00 Bohr magnetons per cell

Material: Zr2PdRh4
Method: DFT, PBE
State: optimized geometry

POSCAR file:
```
Zr2PdRh4
1.0
-1.818 1.818 9.238
1.818 -1.818 9.238
1.818 1.818 -9.238
Zr Pd Rh
2 1 4
Cartesian
0.000 0.000 1.764 Zr
0.000 0.000 16.712 Zr
0.000 0.000 9.238 Pd
1.818 0.000 4.619 Rh
0.000 0.000 6.574 Rh
0.000 0.000 11.902 Rh
0.000 1.818 4.619 Rh
```

- V: 122 Å³ per cell
- DFT formation energy: -2.5 eV/f.u.
- Total magnetization: 0.00 Bohr magnetons per cell

Material: ZrPd3Rh
Method: DFT, PBE
State: optimized geometry

POSCAR file:
```
ZrPd3Rh
1.0
4.802 0.000 0.000
0.000 4.802 0.000
0.000 0.000 4.802
Zr Pd Rh
1 3 1
Cartesian
0.000 0.000 0.000 Zr
0.000 0.000 2.401 Pd
0.000 2.401 0.000 Pd
2.401 0.000 0.000 Pd
2.401 2.401 2.401 Rh
```

- V: 111 Å³ per cell
- DFT formation energy: 4.9 eV/f.u.
- Total magnetization: 0.79 Bohr magnetons per cell

Material: ZrPd3Rh
Method: DFT, PBE
State: optimized geometry

POSCAR file:
```
ZrPd3Rh
1.0
4.749 0.000 0.000
0.000 4.749 0.000
0.000 0.000 4.749
Zr Pd Rh
1 3 1
Cartesian
0.000 0.000 0.000 Zr
0.000 2.374 2.374 Pd
2.374 0.000 2.374 Pd
2.374 2.374 0.000 Pd
2.374 2.374 2.374 Rh
```

- V: 107 Å³ per cell
- DFT formation energy: 4.3 eV/f.u.
- Total magnetization: 0.00 Bohr magnetons per cell

Material: ZrPd2Rh2
Method: DFT, PBE
State: optimized geometry

POSCAR file:
```
ZrPd2Rh2
1.0
6.772 0.000 0.000
0.000 6.772 0.000
0.000 0.000 3.666
Zr Pd Rh
2 4 4
Cartesian
0.000 0.000 0.000 Zr
3.386 3.386 0.000 Zr
1.096 2.290 1.833 Pd
2.290 5.676 1.833 Pd
4.482 1.096 1.833 Pd
5.676 4.482 1.833 Pd
0.917 4.303 0.000 Rh
2.469 0.917 0.000 Rh
4.303 5.855 0.000 Rh
5.855 2.469 0.000 Rh
```

- V: 168 Å³ per cell
- DFT formation energy: -1.3 eV/f.u.
- Total magnetization: 0.00 Bohr magnetons per cell

Material: Zr2Pd3Rh
Method: DFT, PBE
State: optimized geometry

POSCAR file:
```
Zr2Pd3Rh
1.0
-4.057 4.057 6.992
4.057 -4.057 6.992
4.057 4.057 -6.992
Zr Pd Rh
8 12 4
Cartesian
4.057 0.203 3.059 Zr
2.231 2.028 0.437 Zr
5.882 2.028 0.437 Zr
0.000 0.203 3.933 Zr
4.057 3.854 3.059 Zr
-1.825 2.028 6.555 Zr
1.825 2.028 6.555 Zr
0.000 3.854 3.933 Zr
4.057 0.000 0.000 Pd
1.633 -0.396 1.748 Pd
6.480 -0.396 1.748 Pd
1.633 3.661 -1.748 Pd
2.424 -0.396 5.244 Pd
-2.028 2.028 3.496 Pd
0.000 0.000 6.992 Pd
2.028 2.028 3.496 Pd
1.633 4.452 1.748 Pd
2.424 0.396 8.740 Pd
-2.424 4.452 5.244 Pd
2.424 4.452 5.244 Pd
4.057 2.028 -1.816 Rh
0.000 2.028 1.680 Rh
4.057 2.028 5.312 Rh
0.000 2.028 8.808 Rh
```

- V: 460 Å³ per cell
- DFT formation energy: -2.6 eV/f.u.
- Total magnetization: 0.00 Bohr magnetons per cell

Material: Zr2Pd8Rh
Method: DFT, PBE
State: optimized geometry

POSCAR file:
```
Zr2Pd8Rh
1.0
7.134 -2.049 0.000
7.134 2.049 0.000
-2.067 0.000 6.152
Zr Pd Rh
2 8 1
Cartesian
2.753 0.000 0.998 Zr
9.448 0.000 5.154 Zr
0.091 0.000 1.427 Pd
0.620 0.000 4.266 Pd
3.419 0.000 3.668 Pd
5.658 0.000 0.371 Pd
6.544 0.000 5.781 Pd
8.783 0.000 2.485 Pd
11.581 0.000 1.887 Pd
12.111 0.000 4.726 Pd
6.101 0.000 3.076 Rh
```

- V: 180 Å³ per cell
- DFT formation energy: -5.0 eV/f.u.
- Total magnetization: 0.00 Bohr magnetons per cell

Material: Zr3Pd2Rh2
Method: DFT, PBE
State: optimized geometry

POSCAR file:
```
Zr3Pd2Rh2
1.0
4.430 -2.081 0.000
4.430 2.081 0.000
-1.782 0.000 6.775
Zr Pd Rh
3 2 2
Cartesian
0.000 0.000 0.000 Zr
2.987 0.000 1.966 Zr
4.092 0.000 4.808 Zr
0.426 0.000 2.910 Pd
6.653 0.000 3.865 Pd
1.142 0.000 5.928 Rh
5.937 0.000 0.846 Rh
```

- V: 125 Å³ per cell
- DFT formation energy: -4.9 eV/f.u.
- Total magnetization: 0.00 Bohr magnetons per cell

Material: Zr6Pd3Rh
Method: DFT, PBE
State: optimized geometry

POSCAR file:
```
Zr6Pd3Rh
1.0
7.984 0.000 0.000
0.000 10.823 0.000
0.000 0.000 4.723
Zr Pd Rh
12 6 2
Cartesian
0.043 2.683 0.000 Zr
1.253 0.978 2.362 Zr
1.441 4.442 2.362 Zr
2.551 9.854 0.000 Zr
2.739 6.389 0.000 Zr
3.949 8.094 2.362 Zr
4.035 2.729 2.362 Zr
5.245 4.433 0.000 Zr
5.433 0.969 0.000 Zr
6.543 6.380 2.362 Zr
6.731 9.845 2.362 Zr
7.941 8.140 0.000 Zr
0.000 5.411 0.000 Pd
1.259 7.533 2.362 Pd
2.733 2.122 0.000 Pd
3.992 0.000 2.362 Pd
5.251 8.701 0.000 Pd
6.725 3.289 2.362 Pd
0.000 0.000 0.000 Rh
3.992 5.411 2.362 Rh
```

- V: 408 Å³ per cell
- DFT formation energy: -3.8 eV/f.u.
- Total magnetization: 0.00 Bohr magnetons per cell

Material: Zr6PdRh5
Method: DFT, PBE
State: optimized geometry

POSCAR file:
```
Zr6PdRh5
1.0
7.419 -3.279 0.000
7.419 3.279 0.000
-1.461 0.000 4.471
Zr Pd Rh
6 1 5
Cartesian
4.432 1.646 1.483 Zr
7.419 1.655 0.000 Zr
8.944 1.646 2.987 Zr
4.432 -1.646 1.483 Zr
7.419 -1.655 0.000 Zr
8.944 -1.646 2.987 Zr
6.688 0.000 2.235 Pd
-0.731 0.000 2.235 Rh
2.206 0.000 0.735 Rh
3.730 0.000 3.736 Rh
9.646 0.000 0.734 Rh
11.170 0.000 3.735 Rh
```

- V: 217 Å³ per cell
- DFT formation energy: -8.7 eV/f.u.
- Total magnetization: 0.00 Bohr magnetons per cell

Material: ZrPd2Rh2
Method: DFT, PBE
State: optimized geometry

POSCAR file:
```
ZrPd2Rh2
1.0
-1.806 1.806 6.646
1.806 -1.806 6.646
1.806 1.806 -6.646
Zr Pd Rh
1 2 2
Cartesian
0.000 0.000 0.000 Zr
0.000 0.000 5.339 Pd
0.000 0.000 7.952 Pd
1.806 0.000 3.323 Rh
0.000 1.806 3.323 Rh
```

- V: 87 Å³ per cell
- DFT formation energy: -0.7 eV/f.u.
- Total magnetization: 0.00 Bohr magnetons per cell

Material: Zr4Pd3Rh2
Method: DFT, PBE
State: optimized geometry

POSCAR file:
```
Zr4Pd3Rh2
1.0
4.384 -2.123 0.000
4.384 2.123 0.000
-1.400 0.000 8.733
Zr Pd Rh
4 3 2
Cartesian
-0.155 0.000 2.941 Zr
2.791 0.000 1.036 Zr
4.577 0.000 7.697 Zr
7.523 0.000 5.792 Zr
0.000 0.000 0.000 Pd
2.371 0.000 3.934 Pd
4.997 0.000 4.799 Pd
1.706 0.000 6.923 Rh
5.662 0.000 1.811 Rh
```

- V: 163 Å³ per cell
- DFT formation energy: -5.9 eV/f.u.
- Total magnetization: 0.00 Bohr magnetons per cell

Material: ZrPd6Rh
Method: DFT, PBE
State: optimized geometry

POSCAR file:
```
ZrPd6Rh
1.0
3.626 2.093 3.280
-3.626 2.093 3.280
0.000 -4.187 3.280
Zr Pd Rh
1 6 1
Cartesian
0.000 0.000 0.000 Zr
0.000 -1.573 2.855 Pd
-1.362 0.787 2.855 Pd
-1.362 -0.787 6.985 Pd
1.362 0.787 2.855 Pd
1.362 -0.787 6.985 Pd
0.000 1.573 6.985 Pd
0.000 0.000 4.920 Rh
```

- V: 149 Å³ per cell
- DFT formation energy: 1.8 eV/f.u.
- Total magnetization: 0.69 Bohr magnetons per cell

Material: Zr2Pd3Rh3
Method: DFT, PBE
State: optimized geometry

POSCAR file:
```
Zr2Pd3Rh3
1.0
3.998 0.000 0.000
0.000 4.051 0.000
0.000 0.000 7.901
Zr Pd Rh
2 3 3
Cartesian
0.000 0.000 1.940 Zr
0.000 0.000 5.960 Zr
0.000 2.026 3.950 Pd
1.999 2.026 1.969 Pd
1.999 2.026 5.931 Pd
0.000 2.026 0.000 Rh
1.999 0.000 0.000 Rh
1.999 0.000 3.950 Rh
```

- V: 128 Å³ per cell
- DFT formation energy: -5.6 eV/f.u.
- Total magnetization: 0.00 Bohr magnetons per cell

Material: Zr4Pd12Rh
Method: DFT, PBE
State: optimized geometry

POSCAR file:
```
Zr4Pd12Rh
1.0
-4.174 4.174 4.174
4.174 -4.174 4.174
4.174 4.174 -4.174
Zr Pd Rh
4 12 1
Cartesian
2.087 2.087 -2.087 Zr
2.087 -2.087 2.087 Zr
-2.087 2.087 2.087 Zr
2.087 2.087 2.087 Zr
2.483 0.000 0.000 Pd
5.865 0.000 0.000 Pd
4.174 2.087 0.000 Pd
4.174 0.000 2.087 Pd
0.000 2.483 0.000 Pd
0.000 0.000 2.483 Pd
2.087 4.174 0.000 Pd
2.087 0.000 4.174 Pd
0.000 5.865 0.000 Pd
0.000 0.000 5.865 Pd
0.000 4.174 2.087 Pd
0.000 2.087 4.174 Pd
0.000 0.000 0.000 Rh
```

- V: 291 Å³ per cell
- DFT formation energy: -7.8 eV/f.u.
- Total magnetization: 0.00 Bohr magnetons per cell

Material: Zr6Pd2Rh
Method: DFT, PBE
State: optimized geometry

POSCAR file:
```
Zr6Pd2Rh
1.0
7.229 -3.234 0.000
7.229 3.234 0.000
-1.469 0.000 4.382
Zr Pd Rh
6 2 1
Cartesian
4.369 1.628 1.474 Zr
7.229 1.648 0.000 Zr
8.620 1.628 2.907 Zr
4.369 -1.628 1.474 Zr
7.229 -1.648 0.000 Zr
8.620 -1.628 2.907 Zr
3.568 0.000 3.643 Pd
9.420 0.000 0.739 Pd
-0.734 0.000 2.191 Rh
```

- V: 205 Å³ per cell
- DFT formation energy: -1.6 eV/f.u.
- Total magnetization: 0.00 Bohr magnetons per cell

Material: Zr6Pd5Rh
Method: DFT, PBE
State: optimized geometry

POSCAR file:
```
Zr6Pd5Rh
1.0
4.646 0.000 0.000
-0.013 7.119 0.000
-2.042 -3.538 6.776
Zr Pd Rh
6 5 1
Cartesian
-0.036 1.737 0.267 Zr
0.196 1.794 4.390 Zr
0.164 -1.807 4.661 Zr
2.426 5.389 2.115 Zr
2.394 1.788 2.386 Zr
2.626 1.845 6.509 Zr
0.105 3.824 2.230 Pd
0.120 -0.236 2.292 Pd
2.316 3.560 0.000 Pd
2.470 3.818 4.484 Pd
2.485 -0.242 4.545 Pd
2.323 0.000 0.000 Rh
```

- V: 224 Å³ per cell
- DFT formation energy: -7.5 eV/f.u.
- Total magnetization: 0.00 Bohr magnetons per cell

Material: Zr2PdRh
Method: DFT, PBE
State: optimized geometry

POSCAR file:
```
Zr2PdRh
1.0
-3.663 3.663 2.901
3.663 -3.663 2.901
3.663 3.663 -2.901
Zr Pd Rh
4 2 2
Cartesian
1.831 1.755 -0.725 Zr
1.907 -1.831 3.626 Zr
1.831 1.907 2.176 Zr
1.755 5.494 0.725 Zr
3.663 0.000 1.451 Pd
0.000 0.000 2.901 Pd
0.000 0.000 0.000 Rh
0.000 3.663 1.451 Rh
```

- V: 156 Å³ per cell
- DFT formation energy: -1.3 eV/f.u.
- Total magnetization: 0.00 Bohr magnetons per cell